Tb4MgP4O16 | Alexandria via LeMat-Bulk | PBE | relaxed; mass density = 5.3 g/cm3; formation energy from raw total energies = -2.82 eV per atom; distance to the lowest polymorph of the same formula = 0 meV/atom; calculated total energy = -7.665 eV per atom; V = 327.7 Å³/f.u.
1.0
6.3591 0.0000 0.0000
0.6859 6.5696 0.0000
2.5794 -0.1211 7.8430
Tb Mg P O
4 1 4 16
direct
0.0000 0.0000 0.0000
0.0349 0.0706 0.4604
0.4113 0.7770 0.6120
0.6055 0.3371 0.8533
0.2945 0.5123 0.2473
0.1027 0.4698 0.9540
0.4555 0.8653 0.0344
0.5889 0.2258 0.4208
0.9515 0.6360 0.5356
0.0261 0.4283 0.4241
0.0753 0.9768 0.7129
0.2403 0.9190 0.1878
0.2422 0.3361 0.0549
0.2875 0.5046 0.7826
0.3847 0.9080 0.8712
0.4141 0.0731 0.4311
0.4907 0.4462 0.4000
0.5231 0.6359 0.0514
0.6339 0.0122 0.0199
0.6527 0.2024 0.5916
0.7523 0.5847 0.6981
0.8067 0.1611 0.2769
0.8117 0.7988 0.4540
0.9290 0.3378 0.9271
0.9968 0.6656 0.0507

KBa4Pd2 | Alexandria via LeMat-Bulk | PBE | relaxed; mass density = 3.3 g/cm3; calculated total energy = -3.042 eV per atom; calculated formation energy = -6.98 kcal/mol of atoms; V = 404.6 Å³/f.u.
1.0
11.3063 -2.3336 0.0000
11.3063 2.3336 0.0000
-2.1543 0.0000 7.6670
K Ba Pd
1 4 2
direct
0.0000 0.0000 0.0000
0.1673 0.1673 0.5192
0.3254 0.3254 0.9703
0.6746 0.6746 0.0297
0.8327 0.8327 0.4808
0.2520 0.2520 0.2582
0.7480 0.7480 0.7418

Rb2AcNdTe4 | Alexandria via LeMat-Bulk | PBE | relaxed; mass density = 5.2 g/cm3; formation energy from raw total energies = -1.45 eV per atom; calculated total energy = -4.368 eV per atom; V = 338.1 Å³/f.u.
1.0
8.2606 0.0000 0.0000
0.0000 4.7649 0.0000
-2.7460 0.0000 8.5891
Rb Ac Nd Te
2 1 1 4
direct
0.0000 0.0000 0.0000
0.5000 0.5000 0.0000
0.0000 0.5000 0.5000
0.5000 0.0000 0.5000
0.2473 0.0000 0.7110
0.2743 0.5000 0.2939
0.7257 0.5000 0.7061
0.7527 0.0000 0.2890